DFT (GGA+U) results for crystalline Ba2TlCo2O6 at its relaxed geometry.

POSCAR file:
```
Ba2TlCo2O6
1.0
3.0392 1.7547 5.9476
-3.0392 1.7547 5.9476
0.0000 -3.5094 5.9476
Ba Tl Co O
2 1 2 6
Cartesian
0.0000 0.0000 3.7954
0.0000 0.0000 14.0473
0.0000 0.0000 0.0000
0.0000 0.0000 7.4818
0.0000 0.0000 10.3610
-1.5425 -0.8906 10.2866
0.0000 -1.7812 7.5562
-1.5425 0.8906 7.5562
1.5425 -0.8906 10.2866
0.0000 1.7812 10.2866
1.5425 0.8906 7.5562
```

Its energy is -62.35 eV per formula unit.